Entry from Alexandria: a crystal of Li2GeCl relaxed with PBEsol (SCAN).

abc: 6.500 6.500 7.226
angles: 90.00 90.00 90.00
Space group I-42d (No. 122)
Symmetry-distinct sites (fractional):
Li (0.199, 0.750, 0.125) x8
Ge (0.000, 0.000, 0.500) x4
Cl (0.000, 0.000, 0.000) x4

Entry from Alexandria: a crystal of LiGe3Cl relaxed with PBEsol (SCAN).

abc: 4.947 4.947 4.947
angles: 90.00 90.00 90.00
Space group Pm-3m (No. 221)
Symmetry-distinct sites (fractional):
Li (0.000, 0.000, 0.000) x1
Ge (0.000, 0.500, 0.500) x3
Cl (0.500, 0.500, 0.500) x1

| no. | total energy (eV per atom) | V (Å³ per cell) |
| --- | --- | --- |
| 1 | -8.61 | 305.4 |
| 2 | -12.80 | 121.1 |